Record 1
Below is MgAgNO after structural relaxation, with properties calculated at the PBE level.

Output
Total DFT energy (no corrections) (eV for the cell shown): -36.64

Cell lengths 3.3277, 5.4201, 6.0649 Å; angles 90.00, 90.00, 90.00 degrees
Fractional positions:
Ag  0.5000  0.9786  0.1909
Ag  0.5000  0.4786  0.8091
Mg  0.0000  0.4947  0.3114
Mg  0.0000  0.9947  0.6886
N  0.0000  0.8806  0.3653
N  0.0000  0.3806  0.6347
O  0.5000  0.4001  0.1708
O  0.5000  0.9001  0.8292


Record 2
Below is MgAgNO after structural relaxation, with properties calculated at the PBE level.

Output
Total DFT energy (no corrections) (eV for the cell shown): -76.82

Cell lengths 6.1459, 7.6677, 4.2531 Å; angles 90.00, 90.00, 90.00 degrees
Fractional positions:
Ag  0.5597  0.1240  0.0505
Ag  0.0597  0.8760  0.0505
Ag  0.9403  0.1240  0.5505
Ag  0.4403  0.8760  0.5505
Mg  0.0875  0.3888  0.0506
Mg  0.5875  0.6112  0.0506
Mg  0.4125  0.3888  0.5506
Mg  0.9125  0.6112  0.5506
N  0.9327  0.1427  0.0505
N  0.4327  0.8573  0.0505
N  0.5673  0.1427  0.5505
N  0.0673  0.8573  0.5505
O  0.4100  0.3964  0.0507
O  0.9100  0.6036  0.0507
O  0.0900  0.3964  0.5507
O  0.5900  0.6036  0.5507


Record 3
Below is NaMg6Ag after structural relaxation, with properties calculated at the PBE level.

Output
Total DFT energy (no corrections) (eV for the cell shown): -13.24

Cell lengths 6.3519, 6.3519, 5.0856 Å; angles 90.00, 90.00, 120.00 degrees
Fractional positions:
Ag  0.0000  0.0000  0.0000
Mg  0.5016  0.0033  0.0000
Mg  0.5016  0.4984  0.0000
Mg  0.9967  0.4984  0.0000
Mg  0.3286  0.1643  0.5000
Mg  0.8357  0.1643  0.5000
Mg  0.8357  0.6714  0.5000
Na  0.3333  0.6667  0.5000


Record 4
Below is Na4MgAgSn2 after structural relaxation, with properties calculated at the PBE level.

Output
Total DFT energy (no corrections) (eV for the cell shown): -18.94

Cell lengths 5.0565, 5.0565, 7.1842 Å; angles 90.00, 90.00, 90.00 degrees
Fractional positions:
Ag  0.0000  0.0000  0.0000
Mg  0.5000  0.5000  0.5000
Na  0.5000  0.5000  0.0000
Na  0.5000  0.0000  0.2335
Na  0.0000  0.0000  0.5000
Na  0.0000  0.5000  0.7665
Sn  0.0000  0.5000  0.2498
Sn  0.5000  0.0000  0.7502


Record 5
Below is Mg2NbAg after structural relaxation, with properties calculated at the PBE level.

Output
Total DFT energy (no corrections) (eV for the cell shown): -14.75
Total moment (μB/cell): 0.8

Cell lengths 4.7283, 4.7283, 4.7283 Å; angles 60.00, 60.00, 60.00 degrees
Fractional positions:
Ag  0.5000  0.5000  0.5000
Mg  0.0000  0.0000  0.0000
Mg  0.2500  0.2500  0.2500
Nb  0.7500  0.7500  0.7500


Record 6
Below is MgNbAgPt after structural relaxation, with properties calculated at the PBE level.

Output
Total DFT energy (no corrections) (eV for the cell shown): -21.60
Total moment (μB/cell): 0.0

Cell lengths 4.5962, 4.5962, 4.5962 Å; angles 60.00, 60.00, 60.00 degrees
Fractional positions:
Ag  0.0000  0.0000  0.0000
Mg  0.7500  0.7500  0.7500
Nb  0.2500  0.2500  0.2500
Pt  0.5000  0.5000  0.5000


Record 7
Below is MgNbAgPt after structural relaxation, with properties calculated at the PBE level.

Output
Total DFT energy (no corrections) (eV for the cell shown): -21.30
Total moment (μB/cell): 0.0

Cell lengths 4.5618, 4.5618, 4.5618 Å; angles 60.00, 60.00, 60.00 degrees
Fractional positions:
Ag  0.5000  0.5000  0.5000
Mg  0.7500  0.7500  0.7500
Nb  0.0000  0.0000  0.0000
Pt  0.2500  0.2500  0.2500


Record 8
Below is NdMgAg after structural relaxation, with properties calculated at the PBE level.

Output
Total DFT energy (no corrections) (eV for the cell shown): -29.83
Total moment (μB/cell): 0.1

Cell lengths 7.7339, 7.7339, 4.3486 Å; angles 90.00, 90.00, 120.00 degrees
Fractional positions:
Ag  0.6667  0.3333  0.0000
Ag  0.3333  0.6667  0.0000
Ag  0.0000  0.0000  0.5000
Mg  0.7602  0.0000  0.0000
Mg  0.2398  0.2398  0.0000
Mg  0.0000  0.7602  0.0000
Nd  0.4166  0.0000  0.5000
Nd  0.0000  0.4166  0.5000
Nd  0.5834  0.5834  0.5000


Record 9
Below is NdMgAg after structural relaxation, with properties calculated at the PBE level.

Output
Total DFT energy (no corrections) (eV for the cell shown): -8.48
Total moment (μB/cell): 0.0

Cell lengths 4.8892, 4.8892, 4.8892 Å; angles 60.00, 60.00, 60.00 degrees
Fractional positions:
Ag  0.2500  0.2500  0.2500
Mg  0.0000  0.0000  0.0000
Nd  0.7500  0.7500  0.7500


Record 10
Below is NdMgAg after structural relaxation, with properties calculated at the PBE level.

Output
Total DFT energy (no corrections) (eV for the cell shown): -59.66
Total moment (μB/cell): 0.1

Cell lengths 8.8921, 8.8921, 8.8921 Å; angles 121.97, 81.49, 128.21 degrees
Fractional positions:
Ag  0.9136  0.7468  0.1666
Ag  0.2466  0.4964  0.2502
Ag  0.5802  0.2468  0.3332
Ag  0.9136  0.2470  0.6668
Ag  0.2462  0.9964  0.7498
Ag  0.5802  0.7470  0.8334
Mg  0.0062  0.0062  0.0000
Mg  0.4872  0.3668  0.1201
Mg  0.2467  0.8668  0.3796
Mg  0.0062  0.5062  0.5000
Mg  0.4872  0.8672  0.6204
Mg  0.2467  0.3672  0.8799
Nd  0.8311  0.2888  0.0423
Nd  0.6625  0.9125  0.2500
Nd  0.2464  0.2886  0.4579
Nd  0.8307  0.7886  0.5421
Nd  0.6625  0.4125  0.7500
Nd  0.2465  0.7888  0.9577


Record 11
Below is NdMgAgO3 after structural relaxation, with properties calculated at the PBE level.

Output
Total DFT energy (no corrections) (eV for the cell shown): -56.35
Total moment (μB/cell): 0.0

Cell lengths 5.7911, 5.7911, 9.2805 Å; angles 90.00, 90.00, 154.38 degrees
Fractional positions:
Ag  0.1739  0.8261  0.2500
Ag  0.8261  0.1739  0.7500
Mg  0.8509  0.1491  0.2500
Mg  0.1491  0.8509  0.7500
Nd  0.5000  0.5000  0.0000
Nd  0.5000  0.5000  0.5000
O  0.3227  0.6773  0.0979
O  0.0057  0.9943  0.2500
O  0.3227  0.6773  0.4021
O  0.6773  0.3227  0.5979
O  0.9943  0.0057  0.7500
O  0.6773  0.3227  0.9021


Record 12
Below is Nd3Mg3Ag2Pd after structural relaxation, with properties calculated at the PBE level.

Output
Total DFT energy (no corrections) (eV for the cell shown): -33.21
Total moment (μB/cell): 0.0

Cell lengths 7.7721, 7.7721, 4.2046 Å; angles 90.00, 90.00, 120.00 degrees
Fractional positions:
Ag  0.6667  0.3333  0.5000
Ag  0.3333  0.6667  0.5000
Mg  0.2340  0.0000  0.5000
Mg  0.0000  0.2340  0.5000
Mg  0.7660  0.7660  0.5000
Nd  0.5910  0.0000  0.0000
Nd  0.4090  0.4090  0.0000
Nd  0.0000  0.5910  0.0000
Pd  0.0000  0.0000  0.0000


Record 13
Below is Nd3Mg3AgPd2 after structural relaxation, with properties calculated at the PBE level.

Output
Total DFT energy (no corrections) (eV for the cell shown): -36.88
Total moment (μB/cell): 0.0

Cell lengths 7.6923, 7.6923, 4.1321 Å; angles 90.00, 90.00, 120.00 degrees
Fractional positions:
Ag  0.0000  0.0000  0.0000
Mg  0.2462  0.0000  0.5000
Mg  0.0000  0.2462  0.5000
Mg  0.7538  0.7538  0.5000
Nd  0.5802  0.0000  0.0000
Nd  0.4198  0.4198  0.0000
Nd  0.0000  0.5802  0.0000
Pd  0.6667  0.3333  0.5000
Pd  0.3333  0.6667  0.5000


Record 14
Below is Pr2NdMg3AgPd2 after structural relaxation, with properties calculated at the PBE level.

Output
Total DFT energy (no corrections) (eV for the cell shown): -36.86
Total moment (μB/cell): 0.0

Cell lengths 4.1468, 7.7178, 7.7178 Å; angles 119.99, 90.00, 90.00 degrees
Fractional positions:
Ag  0.0000  0.0009  0.0009
Mg  0.5000  0.2461  0.0009
Mg  0.5000  0.0009  0.2461
Mg  0.5000  0.7532  0.7532
Nd  0.0000  0.4187  0.4187
Pd  0.5000  0.6654  0.3338
Pd  0.5000  0.3338  0.6654
Pr  0.0000  0.5810  0.0000
Pr  0.0000  0.0000  0.5810


Record 15
Below is Pr2NdMg3AgPt2 after structural relaxation, with properties calculated at the PBE level.

Output
Total DFT energy (no corrections) (eV for the cell shown): -40.08
Total moment (μB/cell): 0.0

Cell lengths 4.1355, 7.7098, 7.7098 Å; angles 119.95, 90.00, 90.00 degrees
Fractional positions:
Ag  0.0000  0.0008  0.0008
Mg  0.5000  0.2480  0.0009
Mg  0.5000  0.0009  0.2480
Mg  0.5000  0.7513  0.7513
Nd  0.0000  0.4203  0.4203
Pr  0.0000  0.5795  0.0000
Pr  0.0000  0.0000  0.5795
Pt  0.5000  0.6653  0.3338
Pt  0.5000  0.3338  0.6653


Record 16
Below is Nd3Mg3AgPt2 after structural relaxation, with properties calculated at the PBE level.

Output
Total DFT energy (no corrections) (eV for the cell shown): -40.12
Total moment (μB/cell): 0.0

Cell lengths 7.6758, 7.6758, 4.1337 Å; angles 90.00, 90.00, 120.00 degrees
Fractional positions:
Ag  0.0000  0.0000  0.5000
Mg  0.7515  0.0000  0.0000
Mg  0.2485  0.2485  0.0000
Mg  0.0000  0.7515  0.0000
Nd  0.4212  0.0000  0.5000
Nd  0.0000  0.4212  0.5000
Nd  0.5788  0.5788  0.5000
Pt  0.6667  0.3333  0.0000
Pt  0.3333  0.6667  0.0000


Record 17
Below is NdMgAgSeS2 after structural relaxation, with properties calculated at the PBE level.

Output
Total DFT energy (no corrections) (eV for the cell shown): -55.29
Total moment (μB/cell): 0.0

Cell lengths 6.7818, 6.7818, 10.9890 Å; angles 90.00, 90.00, 146.79 degrees
Fractional positions:
Ag  0.0133  0.9867  0.2500
Ag  0.9867  0.0133  0.7500
Mg  0.7183  0.2817  0.2500
Mg  0.2817  0.7183  0.7500
Nd  0.5000  0.5000  0.0000
Nd  0.5000  0.5000  0.5000
S  0.1434  0.8566  0.0825
S  0.1434  0.8566  0.4175
S  0.8566  0.1434  0.5825
S  0.8566  0.1434  0.9175
Se  0.3744  0.6256  0.2500
Se  0.6256  0.3744  0.7500


Record 18
Below is NdMgAgTe2Se after structural relaxation, with properties calculated at the PBE level.

Output
Total DFT energy (no corrections) (eV for the cell shown): -48.20
Total moment (μB/cell): 0.0

Cell lengths 7.3130, 7.3130, 11.2033 Å; angles 90.00, 90.00, 146.83 degrees
Fractional positions:
Ag  0.5167  0.4833  0.2500
Ag  0.4833  0.5167  0.7500
Mg  0.2538  0.7462  0.2500
Mg  0.7462  0.2538  0.7500
Nd  0.0000  0.0000  0.0000
Nd  0.0000  0.0000  0.5000
Se  0.8927  0.1072  0.2500
Se  0.1072  0.8927  0.7500
Te  0.6574  0.3426  0.0750
Te  0.6574  0.3426  0.4250
Te  0.3426  0.6574  0.5750
Te  0.3426  0.6574  0.9250


Record 19
Below is NdMgAgTeSe2 after structural relaxation, with properties calculated at the PBE level.

Output
Total DFT energy (no corrections) (eV for the cell shown): -50.48
Total moment (μB/cell): 0.0

Cell lengths 7.1871, 7.1871, 11.3407 Å; angles 90.00, 90.00, 147.45 degrees
Fractional positions:
Ag  0.0163  0.9837  0.2500
Ag  0.9837  0.0163  0.7500
Mg  0.7058  0.2942  0.2500
Mg  0.2942  0.7058  0.7500
Nd  0.5000  0.5000  0.0000
Nd  0.5000  0.5000  0.5000
Se  0.1448  0.8552  0.0782
Se  0.1448  0.8552  0.4218
Se  0.8552  0.1448  0.5782
Se  0.8552  0.1448  0.9218
Te  0.3750  0.6250  0.2500
Te  0.6250  0.3750  0.7500


Record 20
Below is NdMgAgTe3 after structural relaxation, with properties calculated at the PBE level.

Output
Total DFT energy (no corrections) (eV for the cell shown): -46.78
Total moment (μB/cell): 0.0

Cell lengths 4.2098, 7.4787, 11.5557 Å; angles 90.00, 90.00, 73.65 degrees
Fractional positions:
Ag  0.5199  0.9601  0.2500
Ag  0.4801  0.0399  0.7500
Mg  0.2234  0.5532  0.2500
Mg  0.7766  0.4468  0.7500
Nd  0.0000  0.0000  0.0000
Nd  0.0000  0.0000  0.5000
Te  0.6535  0.6930  0.0743
Te  0.8864  0.2272  0.2500
Te  0.6535  0.6930  0.4257
Te  0.3465  0.3070  0.5743
Te  0.1136  0.7728  0.7500
Te  0.3465  0.3070  0.9257


Record 21
Below is MgNiAgSb after structural relaxation, with properties calculated at the PBE level.

Output
Total DFT energy (no corrections) (eV for the cell shown): -14.27
Total moment (μB/cell): 0.0

Cell lengths 4.6488, 4.6488, 4.6488 Å; angles 60.00, 60.00, 60.00 degrees
Fractional positions:
Ag  0.0000  0.0000  0.0000
Mg  0.7500  0.7500  0.7500
Ni  0.5000  0.5000  0.5000
Sb  0.2500  0.2500  0.2500


Record 22
Below is MgSiNiAg after structural relaxation, with properties calculated at the PBE level.

Output
Total DFT energy (no corrections) (eV for the cell shown): -15.40
Total moment (μB/cell): 0.0

Cell lengths 4.3829, 4.3829, 4.3829 Å; angles 60.00, 60.00, 60.00 degrees
Fractional positions:
Ag  0.5000  0.5000  0.5000
Mg  0.2500  0.2500  0.2500
Ni  0.7500  0.7500  0.7500
Si  0.0000  0.0000  0.0000


Record 23
Below is Mg2AgO4 after structural relaxation, with properties calculated at the PBE level.

Output
Total DFT energy (no corrections) (eV for the cell shown): -68.88

Cell lengths 6.1151, 6.1151, 6.1151 Å; angles 119.99, 90.02, 119.99 degrees
Fractional positions:
Ag  0.0000  0.0000  0.0000
Ag  0.7500  0.5000  0.2500
Mg  0.3750  0.7500  0.1250
Mg  0.8750  0.2500  0.6250
Mg  0.3750  0.2500  0.6250
Mg  0.3750  0.7500  0.6250
O  0.6109  0.2221  0.3889
O  0.1668  0.7779  0.3889
O  0.6111  0.7779  0.3891
O  0.1389  0.2779  0.4168
O  0.6111  0.2221  0.8332
O  0.1389  0.7221  0.8609
O  0.1391  0.2779  0.8611
O  0.5832  0.7221  0.8611